A plane-wave DFT calculation with PBE with a Hubbard U was carried out for a geometry-optimized ScMoF6 structure.

Cell lengths 5.2184, 5.2184, 5.9010 Å; angles 90.45, 90.45, 120.00 degrees
Closest atoms and distances in Å follow each position.
Element x y z (fractional)
1 Sc 0.0000 0.0000 0.0000  6 F 2.06
2 Mo 0.0000 0.0000 0.5000  6 F 2.12
3 F 0.9999 0.2845 0.2447  1 Sc 2.06, 1 Mo 2.12
4 F 0.0001 0.7155 0.7553  1 Sc 2.06, 1 Mo 2.12
5 F 0.2845 0.9999 0.2447  1 Sc 2.06, 1 Mo 2.12
6 F 0.2846 0.2846 0.7609  1 Sc 2.06, 1 Mo 2.12
7 F 0.7154 0.7154 0.2391  1 Sc 2.06, 1 Mo 2.12
8 F 0.7155 0.0001 0.7553  1 Sc 2.06, 1 Mo 2.12

Computed properties:
As for the space group: C2/m, No. 12. The value obtained for the calculated total energy is -0.45133 Ry per atom. The magnetic moment comes out at 3.00 μB per formula unit.